[1]
Material: CaLaAsPt2
Method: DFT, PBE
State: relaxed

Lattice parameters (Å, degrees): 4.8508 4.8508 6.0545 90.00 90.00 90.00
Fractional coordinates of all 5 atoms:
1 Ca 0.0000 0.0000 0.0000
2 La 0.0000 0.0000 0.5000
3 As 0.5000 0.5000 0.5000
4 Pt 0.0000 0.5000 0.0000
5 Pt 0.5000 0.0000 0.0000

Raw total energy (eV per atom): -4.1046
Space group: No. 123
Energy of formation from the pure elements (eV per atom): 0.627

[2]
Material: RbCaLa2As
Method: DFT, PBE
State: relaxed

Lattice parameters (Å, degrees): 6.1026 6.1026 5.5454 90.00 90.00 90.00
Fractional coordinates of all 5 atoms:
1 Rb 0.0000 0.0000 0.0000
2 Ca 0.5000 0.5000 0.5000
3 La 0.0000 0.5000 0.5000
4 La 0.5000 0.0000 0.5000
5 As 0.5000 0.5000 0.0000

Raw total energy (eV per atom): -3.0209
Space group: No. 123
Energy of formation from the pure elements (eV per atom): 0.474